1.
Entry from Alexandria: a relaxed structure of PrSmY3Er (PBE).

Output
energy of formation from the pure elements: 0.0224 eV per atom
VASP energy: -66.64 eV for the cell shown
spin magnetization: 0.0 μB/f.u.
Fermi-level density of states: 17.8 states/eV per cell
ρ: 6.11 g cm⁻³
crystal system: orthorhombic

Cell: 5.0846 8.0402 10.1694 Å, 90.00 90.00 108.43°
Element x y z (fractional)
Sm 0.5009 0.0017 0.2500
Sm 0.4991 0.9983 0.7500
Y 0.3323 0.6647 0.9997
Y 0.1679 0.3357 0.7500
Y 0.6677 0.3353 0.4997
Y 0.3323 0.6647 0.5003
Y 0.6677 0.3353 0.0003
Y 0.8321 0.6643 0.2500
Er 0.1674 0.3349 0.2500
Er 0.8326 0.6651 0.7500
Pr 0.0000 0.0000 0.0000
Pr 0.0000 0.0000 0.5000

2.
Entry from Alexandria: a relaxed structure of PrSm2Y3Er6 (PBE).

Output
energy of formation from the pure elements: 0.0223 eV per atom
VASP energy: -60.72 eV for the cell shown
spin magnetization: 0.0 μB/f.u.
Fermi-level density of states: 16.7 states/eV per cell
ρ: 7.43 g cm⁻³
crystal system: monoclinic

Cell: 6.1723 6.1723 11.7701 Å, 95.00 95.00 119.96°
Element x y z (fractional)
Er 0.0847 0.4185 0.2520
Er 0.5815 0.9153 0.7480
Er 0.2491 0.2491 0.7481
Er 0.7509 0.7509 0.2519
Er 0.4185 0.0847 0.2520
Er 0.9153 0.5815 0.7480
Sm 0.6667 0.3333 0.0000
Sm 0.3333 0.6667 0.0000
Pr 0.0000 0.0000 0.0000
Y 0.1668 0.8332 0.5000
Y 0.5000 0.5000 0.5000
Y 0.8332 0.1668 0.5000

3.
Entry from Alexandria: a relaxed structure of PrSm2YEr5 (PBE).

Output
energy of formation from the pure elements: 0.2667 eV per atom
VASP energy: -82.19 eV for the cell shown
spin magnetization: 0.0 μB/f.u.
Fermi-level density of states: 20.7 states/eV per cell
ρ: 7.76 g cm⁻³
crystal system: tetragonal

Cell: 8.7773 8.7773 9.8059 Å, 116.59 116.59 90.00°
Element x y z (fractional)
Sm 0.8848 0.6152 0.0000
Sm 0.6152 0.1152 0.0000
Sm 0.1152 0.3848 0.0000
Sm 0.3848 0.8848 0.0000
Er 0.8443 0.9262 0.2705
Er 0.5000 0.5000 0.0000
Er 0.1557 0.0738 0.7295
Er 0.5738 0.6557 0.7295
Er 0.3443 0.8443 0.2705
Er 0.9262 0.4262 0.2705
Er 0.0000 0.0000 0.0000
Er 0.4262 0.3443 0.2705
Er 0.6557 0.1557 0.7295
Er 0.0738 0.5738 0.7295
Y 0.2500 0.7500 0.5000
Y 0.7500 0.2500 0.5000
Pr 0.2500 0.2500 0.5000
Pr 0.7500 0.7500 0.5000

Q: Among the records above, which one has the highest ρ?
A: PrSm2YEr5

Q: Fermi-level density of states of number 2 (PrSm2Y3Er6)?
A: 16.7 states/eV per cell

Q: What is the formula in the first record?
A: PrSmY3Er